(1)
Compound: LaSc2InS
Source: the Alexandria database
Functional: GGA-PBE
Structure: optimized geometry

M_tot   0.0000 μB/atom
Crystal system   tetragonal
Space group   P4/mmm (123)
Formation energy without anion corrections   -848.8 meV/atom
Density of states at the Fermi level   3.13 states/eV/f.u.

abc: 4.914 4.914 5.431
angles: 90.00 90.00 90.00
Sites, in units of the cell vectors:
La1 0.000 0.000 0.000
Sc1 0.000 0.500 0.500
Sc2 0.500 0.000 0.500
In1 0.500 0.500 0.000
S1 0.000 0.000 0.500

---

(2)
Compound: Pm3Nd3Sm5
Source: the Alexandria database
Functional: GGA-PBE
Structure: optimized geometry

M_tot   0.0001 μB/atom
Formation energy   31 kJ/mol of atoms
Crystal system   hexagonal
Space group   P-62m (189)
Density of states at the Fermi level   19.20 states/eV/f.u.

abc: 11.380 11.380 3.491
angles: 90.00 90.00 120.00
Sites, in units of the cell vectors:
Pm1 0.000 0.840 0.000
Pm2 0.160 0.160 0.000
Pm3 0.840 0.000 0.000
Nd1 0.000 0.597 0.500
Nd2 0.403 0.403 0.500
Nd3 0.597 0.000 0.500
Sm1 0.000 0.340 0.000
Sm2 0.333 0.667 0.000
Sm3 0.340 0.000 0.000
Sm4 0.660 0.660 0.000
Sm5 0.667 0.333 0.000

---

(3)
Compound: NdHo3ErTm
Source: the Alexandria database
Functional: GGA-PBE
Structure: optimized geometry

M_tot   0.0001 μB/atom
Formation energy   2 kJ/mol of atoms
Crystal system   orthorhombic
Space group   Cmcm (63)
Density of states at the Fermi level   8.23 states/eV/f.u.

abc: 7.911 7.911 10.029
angles: 90.00 90.00 143.14
Sites, in units of the cell vectors:
Nd1 0.000 0.000 0.250
Nd2 0.000 0.000 0.750
Ho1 0.167 0.833 0.000
Ho2 0.167 0.833 0.500
Ho3 0.332 0.668 0.750
Ho4 0.668 0.332 0.250
Ho5 0.833 0.167 0.000
Ho6 0.833 0.167 0.500
Er1 0.500 0.500 0.000
Er2 0.500 0.500 0.500
Tm1 0.332 0.668 0.250
Tm2 0.668 0.332 0.750